[1]
A geometry-optimized PbSeCl2 structure, computed with PBE-GGA.

Lattice parameters (Å, degrees): 7.3910 7.3910 7.3910 90.00 90.00 90.00
Last column: nearest neighbours and their distance in Å.
Space group Fm-3m (No. 225)
Unique sites:
1 Pb 0.0000 0.0000 0.0000 x4  8 Cl 3.20
2 Se 0.0000 0.0000 0.5000 x4  8 Cl 3.20
3 Cl 0.2500 0.2500 0.2500 x8  4 Pb 3.20, 4 Se 3.20

## Properties
formation energy from raw total energies = -0.7 eV per formula unit
final energy = -46.4 eV/cell
total magnetization = 2.0 μB/f.u.
polymorph energy (0 for the lowest one) = 39.50 kJ/mol of atoms


[2]
A geometry-optimized PbSeCl2 structure, computed with PBE-GGA.

Lattice parameters (Å, degrees): 4.1710 4.1710 11.3318 90.00 90.00 90.00
Last column: nearest neighbours and their distance in Å.
Space group I-4m2 (No. 119)
Unique sites:
1 Pb 0.0000 0.0000 0.0000 x2  4 Cl 2.95
2 Se 0.0000 0.5000 0.7500 x2  4 Cl 2.95
3 Cl 0.0000 0.0000 0.5000 x2  4 Pb 2.95
4 Cl 0.0000 0.5000 0.2500 x2  4 Se 2.95

## Properties
formation energy from raw total energies = -1.2 eV per formula unit
final energy = -24.2 eV/cell
total magnetization = 0.0 μB/f.u.
polymorph energy (0 for the lowest one) = 28.00 kJ/mol of atoms


[3]
A geometry-optimized PbSeCl2 structure, computed with PBE-GGA.

Lattice parameters (Å, degrees): 3.4607 3.4607 11.0399 90.00 90.00 90.00
Last column: nearest neighbours and their distance in Å.
Space group P4/mmm (No. 123)
Unique sites:
1 Pb 0.0000 0.0000 0.0000 x1  8 Cl 2.99
2 Se 0.0000 0.0000 0.5000 x1  4 Se 3.46
3 Cl 0.5000 0.5000 0.1561 x2  4 Pb 2.99

## Properties
formation energy from raw total energies = -1.1 eV per formula unit
final energy = -12.0 eV/cell
total magnetization = 0.7 μB/f.u.
polymorph energy (0 for the lowest one) = 29.04 kJ/mol of atoms


[4]
A geometry-optimized PbSeCl2 structure, computed with PBE-GGA.

Lattice parameters (Å, degrees): 7.2283 7.2283 7.2283 90.00 90.00 90.00
Last column: nearest neighbours and their distance in Å.
Space group F-43m (No. 216)
Unique sites:
1 Pb 0.0000 0.0000 0.0000 x4  4 Se 3.13, 4 Cl 3.13
2 Se 0.2500 0.2500 0.7500 x4  4 Cl 3.13, 4 Pb 3.13
3 Cl 0.0000 0.0000 0.5000 x4  4 Cl 3.13, 4 Se 3.13
4 Cl 0.2500 0.2500 0.2500 x4  4 Cl 3.13, 4 Pb 3.13

## Properties
formation energy from raw total energies = -0.7 eV per formula unit
final energy = -46.5 eV/cell
total magnetization = 0.0 μB/f.u.
polymorph energy (0 for the lowest one) = 38.84 kJ/mol of atoms


[5]
A geometry-optimized Pb2SeCl2 structure, computed with PBE-GGA.

Lattice parameters (Å, degrees): 8.1733 8.1733 4.3264 90.00 90.00 90.00
Last column: nearest neighbours and their distance in Å.
Space group P4/mbm (No. 127)
Unique sites:
1 Pb 0.1875 0.3125 0.0000 x4  2 Cl 2.90, 2 Se 2.98
2 Se 0.0000 0.0000 0.0000 x2  4 Pb 2.98
3 Cl 0.1448 0.6448 0.5000 x4  2 Pb 2.90

## Properties
formation energy from raw total energies = -3.5 eV per formula unit
final energy = -36.3 eV/cell
total magnetization = 0.0 μB/f.u.
polymorph energy (0 for the lowest one) = 18.47 kJ/mol of atoms


[6]
A geometry-optimized Pb3Se2Cl2 structure, computed with PBE-GGA.

Lattice parameters (Å, degrees): 14.5090 4.3743 7.8759 90.00 105.00 90.00
Last column: nearest neighbours and their distance in Å.
Space group C2/m (No. 12)
Unique sites:
1 Pb 0.0000 0.0000 0.0000 x2  2 Cl 2.93, 4 Se 3.09
2 Pb 0.2356 0.0000 0.7649 x4  3 Se 2.92-3.04, 3 Cl 3.06-3.27
3 Se 0.1245 0.5000 0.8930 x4  5 Pb 2.92-3.09
4 Cl 0.1427 0.0000 0.3401 x4  4 Pb 2.93-3.27

## Properties
formation energy from raw total energies = -5.6 eV per formula unit
final energy = -54.8 eV/cell
total magnetization = 0.0 μB/f.u.


[7]
A geometry-optimized PbSeCl2 structure, computed with PBE-GGA.

Lattice parameters (Å, degrees): 4.7062 4.7062 4.3557 90.00 90.00 90.00
Last column: nearest neighbours and their distance in Å.
Space group P4/mmm (No. 123)
Unique sites:
1 Pb 0.0000 0.0000 0.0000 x1  8 Cl 3.21, 4 Se 3.33
2 Se 0.5000 0.5000 0.0000 x1  8 Cl 3.21, 4 Pb 3.33
3 Cl 0.0000 0.5000 0.5000 x2  4 Se 3.21, 4 Pb 3.21, 4 Cl 3.33

## Properties
formation energy from raw total energies = -0.8 eV per formula unit
final energy = -11.7 eV/cell
total magnetization = 0.0 μB/f.u.
polymorph energy (0 for the lowest one) = 37.68 kJ/mol of atoms


[8]
A geometry-optimized Pb2SeCl2 structure, computed with PBE-GGA.

Lattice parameters (Å, degrees): 7.6185 4.3960 9.6781 90.00 90.27 90.00
Last column: nearest neighbours and their distance in Å.
Space group C2/m (No. 12)
Unique sites:
1 Pb 0.1681 0.0000 0.1873 x4  3 Cl 2.93-2.94, 3 Se 3.12
2 Se 0.0000 0.5000 0.0000 x2  6 Pb 3.12
3 Cl 0.1644 0.0000 0.6606 x4  3 Pb 2.93-2.94

## Properties
formation energy from raw total energies = -4.5 eV per formula unit
final energy = -38.2 eV/cell
total magnetization = 0.0 μB/f.u.
polymorph energy (0 for the lowest one) = 0.00 kJ/mol of atoms


[9]
A geometry-optimized PbSeCl3 structure, computed with PBE-GGA.

Lattice parameters (Å, degrees): 5.5680 5.5680 5.5680 90.00 90.00 90.00
Last column: nearest neighbours and their distance in Å.
Space group Pm-3m (No. 221)
Unique sites:
1 Pb 0.0000 0.0000 0.0000 x1  6 Cl 2.78
2 Se 0.5000 0.5000 0.5000 x1  12 Cl 3.94
3 Cl 0.0000 0.0000 0.5000 x3  2 Pb 2.78

## Properties
formation energy from raw total energies = -1.1 eV per formula unit
final energy = -13.8 eV/cell
total magnetization = 2.7 μB/f.u.
polymorph energy (0 for the lowest one) = 0.00 kJ/mol of atoms


[10]
A geometry-optimized SnPbSeCl2 structure, computed with PBE-GGA.

Lattice parameters (Å, degrees): 4.1712 13.2339 10.9323 90.00 90.00 90.00
Last column: nearest neighbours and their distance in Å.
Space group Cmcm (No. 63)
Unique sites:
1 Sn 0.0000 0.0000 0.0000 x4  4 Cl 2.89, 2 Se 2.97
2 Pb 0.0000 0.2662 0.2500 x4  2 Se 2.85
3 Se 0.0000 0.0869 0.7500 x4  2 Pb 2.85, 2 Sn 2.97
4 Cl 0.0000 0.3571 0.5616 x8  2 Sn 2.89

## Properties
formation energy from raw total energies = -3.9 eV per formula unit
final energy = -75.2 eV/cell
total magnetization = 0.0 μB/f.u.


[11]
A geometry-optimized SrPbSeCl2 structure, computed with PBE-GGA.

Lattice parameters (Å, degrees): 4.2240 13.4798 10.7446 90.00 90.00 90.00
Last column: nearest neighbours and their distance in Å.
Space group Cmcm (No. 63)
Unique sites:
1 Sr 0.0000 0.2472 0.2500 x4  2 Se 3.01, 4 Cl 3.13
2 Pb 0.0000 0.5000 0.0000 x4  2 Se 2.94, 4 Cl 3.05
3 Se 0.0000 0.4119 0.7500 x4  2 Pb 2.94, 2 Sr 3.01
4 Cl 0.0000 0.1517 0.5757 x8  2 Pb 3.05, 2 Sr 3.13

## Properties
formation energy from raw total energies = -7.4 eV per formula unit
final energy = -80.0 eV/cell
total magnetization = 0.0 μB/f.u.
polymorph energy (0 for the lowest one) = 0.00 kJ/mol of atoms


[12]
A geometry-optimized SrPbSeCl2 structure, computed with PBE-GGA.

Lattice parameters (Å, degrees): 5.2223 5.2223 12.8917 90.00 90.00 90.00
Last column: nearest neighbours and their distance in Å.
Space group P4/mmm (No. 123)
Unique sites:
1 Sr 0.0000 0.0000 0.0000 x1  4 Cl 2.61
2 Pb 0.0000 0.0000 0.5000 x1  4 Se 3.69
3 Se 0.5000 0.5000 0.5000 x1  4 Pb 3.69
4 Cl 0.0000 0.5000 0.0000 x2  2 Sr 2.61

## Properties
formation energy from raw total energies = -4.3 eV per formula unit
final energy = -16.9 eV/cell
total magnetization = 0.0 μB/f.u.
polymorph energy (0 for the lowest one) = 59.79 kJ/mol of atoms


[13]
A geometry-optimized Sr2Pb2Se3Cl2 structure, computed with PBE-GGA.

Lattice parameters (Å, degrees): 6.0377 6.0377 15.0125 90.00 90.00 90.00
Last column: nearest neighbours and their distance in Å.
Space group I4/mmm (No. 139)
Unique sites:
1 Sr 0.0000 0.5000 0.0000 x4  2 Se 3.02, 4 Cl 3.34
2 Pb 0.0000 0.0000 0.2175 x4  1 Cl 2.81, 4 Se 3.06
3 Se 0.0000 0.0000 0.0000 x2  4 Sr 3.02, 2 Pb 3.26
4 Se 0.0000 0.5000 0.2500 x4  4 Pb 3.06
5 Cl 0.0000 0.0000 0.4043 x4  1 Pb 2.81, 1 Cl 2.87

## Properties
formation energy from raw total energies = -11.9 eV per formula unit
final energy = -73.6 eV/cell
total magnetization = 0.0 μB/f.u.


[14]
A geometry-optimized SrPbSe2Cl structure, computed with PBE-GGA.

Lattice parameters (Å, degrees): 5.3359 5.3359 6.8873 90.00 90.00 90.00
Last column: nearest neighbours and their distance in Å.
Space group P4/mmm (No. 123)
Unique sites:
1 Sr 0.0000 0.0000 0.0000 x1  2 Pb 3.44, 4 Cl 3.77
2 Pb 0.0000 0.0000 0.5000 x1  4 Se 2.67
3 Se 0.0000 0.5000 0.5000 x2  2 Pb 2.67
4 Cl 0.5000 0.5000 0.0000 x1  4 Sr 3.77

## Properties
formation energy from raw total energies = -1.8 eV per formula unit
final energy = -16.0 eV/cell
total magnetization = 0.0 μB/f.u.